## Zr4As (GGA-PBE)

Data for a relaxed Zr4As crystal.

Cell: 8.497 8.497 8.497 Å, 154.15 154.15 36.89°
Fractional positions:
Zr  0.412  0.412  0.000
Zr  0.588  0.588  0.000
Zr  0.250  0.750  0.500
Zr  0.750  0.250  0.500
As  0.000  0.000  0.000

Output
DOS(E_F)	7.956	states/eV/f.u.
calculated formation energy	0.33	eV/atom
E above lowest polymorph	3.213	eV per formula unit
symmetry	I4/mmm (139)

***

## MgMnN (GGA-PBE)

Data for a relaxed MgMnN crystal.

Cell: 4.446 2.877 5.346 Å, 90.00 108.46 90.00°
Site moments in Bohr magnetons follow the coordinates.
Fractional positions:
Mg  0.293  0.750  0.604  0.00
Mg  0.707  0.250  0.396  0.00
N  0.858  0.750  0.723  -0.02
N  0.142  0.250  0.277  -0.02
Mn  0.221  0.750  0.062  0.45
Mn  0.779  0.250  0.938  0.45

Output
DOS(E_F)	1.672	states/eV/f.u.
uncorrected formation energy	-0.25	eV/atom
E above lowest polymorph	0.321	eV per formula unit
symmetry	P2_1/m (11)

***

## RbTc3Sn (GGA-PBE)

Data for a relaxed RbTc3Sn crystal.

Cell: 5.183 5.183 5.183 Å, 90.00 90.00 90.00°
Site moments in Bohr magnetons follow the coordinates.
Fractional positions:
Tc  0.000  0.500  0.000  2.37
Tc  0.000  0.000  0.500  2.43
Tc  0.500  0.000  0.000  2.07
Sn  0.000  0.000  0.000  -0.13
Rb  0.500  0.500  0.500  0.02

Output
DOS(E_F)	7.612	states/eV/f.u.
calculated formation energy	1.99	eV/atom
E above lowest polymorph	0.000	eV per formula unit
symmetry	Pm-3m (221)

***

## Li2LaN2 (GGA-PBE)

Data for a relaxed Li2LaN2 crystal.

Cell: 3.401 3.401 5.623 Å, 72.40 72.40 90.00°
Site moments in Bohr magnetons follow the coordinates.
Fractional positions:
N  0.630  0.630  0.739  0.30
N  0.370  0.370  0.261  0.30
Li  0.250  0.750  0.500  0.02
Li  0.750  0.250  0.500  0.02
La  0.000  0.000  0.000  0.00

Output
DOS(E_F)	1.020	states/eV/f.u.
uncorrected formation energy	-0.49	eV/atom
symmetry	I4/mmm (139)

***

## NaHf2CrGe (GGA-PBE)

Data for a relaxed NaHf2CrGe crystal.

Cell: 5.096 4.710 5.096 Å, 90.00 90.00 90.00°
Site moments in Bohr magnetons follow the coordinates.
Fractional positions:
Na  0.500  0.500  0.500  -0.02
Cr  0.000  0.500  0.000  3.18
Hf  0.500  0.000  0.000  -0.27
Hf  0.000  0.000  0.500  -0.40
Ge  0.000  0.000  0.000  -0.06

Output
DOS(E_F)	6.867	states/eV/f.u.
calculated formation energy	0.74	eV/atom
symmetry	P4/mmm (123)

***

## SeIBr3 (GGA-PBE)

Data for a relaxed SeIBr3 crystal.

Cell: 5.403 5.403 5.403 Å, 90.00 90.00 90.00°
Site moments in Bohr magnetons follow the coordinates.
Fractional positions:
I  0.500  0.500  0.500  0.61
Br  0.000  0.000  0.500  0.14
Br  0.500  0.000  0.000  0.09
Br  0.000  0.500  0.000  0.06
Se  0.000  0.000  0.000  -0.01

Output
DOS(E_F)	5.061	states/eV/f.u.
uncorrected formation energy	0.22	eV/atom
E above lowest polymorph	1.565	eV per formula unit
symmetry	Pm-3m (221)

***

## Li3Tb2ZrSe6 (GGA-PBE)

Data for a relaxed Li3Tb2ZrSe6 crystal.

Cell: 6.891 6.891 6.920 Å, 99.59 99.59 119.98°
Fractional positions:
Zr  0.000  0.000  0.000
Tb  0.333  0.667  0.000
Tb  0.667  0.333  0.000
Se  0.594  0.914  0.745
Se  0.764  0.764  0.253
Se  0.086  0.406  0.255
Se  0.236  0.236  0.747
Se  0.914  0.594  0.745
Se  0.406  0.086  0.255
Li  0.834  0.166  0.500
Li  0.166  0.834  0.500
Li  0.500  0.500  0.500

Output
DOS(E_F)	4.029	states/eV/f.u.
uncorrected formation energy	-1.55	eV/atom
symmetry	C2/m (12)

***

## Ni2AsAu (GGA-PBE)

Data for a relaxed Ni2AsAu crystal.

Cell: 3.860 3.860 5.701 Å, 79.20 79.20 44.87°
Fractional positions:
Au  0.250  0.250  0.250
As  0.750  0.750  0.750
Ni  0.493  0.493  0.549
Ni  0.007  0.007  0.951

Output
DOS(E_F)	3.002	states/eV/f.u.
calculated formation energy	0.00	eV/atom
E above lowest polymorph	0.181	eV per formula unit
symmetry	C2/m (12)

***

## CeZn5InAu2 (GGA-PBE)

Data for a relaxed CeZn5InAu2 crystal.

Cell: 4.959 4.959 7.647 Å, 90.00 90.00 90.00°
Site moments in Bohr magnetons follow the coordinates.
Fractional positions:
Zn  0.000  0.500  0.752  0.00
Zn  0.500  0.000  0.248  0.00
Zn  0.000  0.500  0.248  0.00
Zn  0.500  0.000  0.752  0.00
Zn  0.500  0.500  0.500  0.00
Au  0.500  0.500  0.175  0.00
Au  0.500  0.500  0.825  0.00
In  0.000  0.000  0.000  -0.01
Ce  0.000  0.000  0.500  0.86

Output
DOS(E_F)	10.006	states/eV/f.u.
calculated formation energy	-0.06	eV/atom
symmetry	P4/mmm (123)

***

## SrCaSe (GGA-PBE)

Data for a relaxed SrCaSe crystal.

Cell: 5.156 5.156 5.156 Å, 60.00 60.00 60.00°
Fractional positions:
Sr  0.000  0.000  0.000
Ca  0.500  0.500  0.500
Se  0.750  0.750  0.750

Output
DOS(E_F)	1.709	states/eV/f.u.
uncorrected formation energy	-0.95	eV/atom
E above lowest polymorph	0.984	eV per formula unit
symmetry	F-43m (216)

***

## ScWS2 (GGA-PBE)

Data for a relaxed ScWS2 crystal.

Cell: 5.144 5.144 7.288 Å, 69.34 69.34 90.00°
Fractional positions:
S  0.375  0.337  0.750
S  0.663  0.125  0.250
S  0.087  0.625  0.250
S  0.875  0.913  0.750
Sc  0.500  0.500  0.000
Sc  0.250  0.750  0.500
W  0.000  0.000  0.000
W  0.750  0.250  0.500

Output
DOS(E_F)	3.617	states/eV/f.u.
uncorrected formation energy	-0.50	eV/atom
E above lowest polymorph	0.254	eV per formula unit
symmetry	I-42d (122)

***

## Tb3Y2Sb2 (GGA-PBE)

Data for a relaxed Tb3Y2Sb2 crystal.

Cell: 4.253 6.477 8.505 Å, 107.97 90.00 109.17°
Fractional positions:
Tb  0.500  0.000  0.000
Tb  0.375  0.750  0.555
Tb  0.625  0.250  0.445
Y  0.135  0.270  0.788
Y  0.865  0.730  0.212
Sb  0.174  0.349  0.194
Sb  0.826  0.651  0.806

Output
DOS(E_F)	7.832	states/eV/f.u.
uncorrected formation energy	-0.65	eV/atom
symmetry	C2/m (12)

***

## Cd2IrRhO (GGA-PBE)

Data for a relaxed Cd2IrRhO crystal.

Cell: 5.329 3.595 5.329 Å, 90.00 90.00 90.00°
Fractional positions:
O  0.000  0.500  0.000
Cd  0.500  0.000  0.000
Cd  0.000  0.000  0.500
Ir  0.000  0.000  0.000
Rh  0.500  0.500  0.500

Output
DOS(E_F)	4.079	states/eV/f.u.
uncorrected formation energy	0.32	eV/atom
symmetry	P4/mmm (123)

***

## ZnHg4Ru (GGA-PBE)

Data for a relaxed ZnHg4Ru crystal.

Cell: 5.690 5.690 5.690 Å, 60.00 60.00 60.00°
Site moments in Bohr magnetons follow the coordinates.
Fractional positions:
Hg  0.375  0.375  0.375  -0.02
Hg  0.874  0.375  0.375  -0.02
Hg  0.375  0.874  0.375  -0.02
Hg  0.375  0.375  0.874  -0.02
Zn  0.000  0.000  0.000  -0.01
Ru  0.750  0.750  0.750  1.06

Output
DOS(E_F)	6.507	states/eV/f.u.
calculated formation energy	0.78	eV/atom
symmetry	F-43m (216)

***

## Y3Sc2 (GGA-PBE)

Data for a relaxed Y3Sc2 crystal.

Cell: 3.527 7.355 11.930 Å, 87.97 81.50 76.13°
Fractional positions:
Sc  0.077  0.873  0.570
Sc  0.397  0.373  0.930
Sc  0.520  0.127  0.430
Sc  0.700  0.627  0.070
Y  0.702  0.710  0.793
Y  0.205  0.290  0.207
Y  0.996  0.000  0.000
Y  0.245  0.210  0.707
Y  0.162  0.790  0.293
Y  0.746  0.500  0.500

Output
DOS(E_F)	8.993	states/eV/f.u.
calculated formation energy	0.14	eV/atom
E above lowest polymorph	0.589	eV per formula unit
symmetry	Fdd2 (43)

***

## K3LiMg2F9 (GGA-PBE)

Data for a relaxed K3LiMg2F9 crystal.

Cell: 5.727 5.727 7.105 Å, 90.00 90.00 120.00°
Site moments in Bohr magnetons follow the coordinates.
Fractional positions:
K  0.000  0.000  0.000  0.00
K  0.333  0.667  0.656  0.00
K  0.667  0.333  0.344  0.00
Li  0.000  0.000  0.500  0.00
Mg  0.333  0.667  0.161  0.00
Mg  0.667  0.333  0.839  0.00
F  0.170  0.340  0.328  0.15
F  0.830  0.660  0.672  0.15
F  0.660  0.830  0.328  0.15
F  0.340  0.170  0.672  0.15
F  0.000  0.500  0.000  0.04
F  0.830  0.170  0.672  0.15
F  0.500  0.000  0.000  0.04
F  0.170  0.830  0.328  0.15
F  0.500  0.500  0.000  0.04

Output
DOS(E_F)	12.143	states/eV/f.u.
uncorrected formation energy	-2.95	eV/atom
symmetry	P-3m1 (164)

***

## NpScAlO6 (GGA-PBE)

Data for a relaxed NpScAlO6 crystal.

Cell: 5.181 5.181 9.207 Å, 90.00 90.00 120.00°
Site moments in Bohr magnetons follow the coordinates.
Fractional positions:
Al  0.333  0.667  0.250  0.00
Al  0.667  0.333  0.750  0.00
O  0.353  0.333  0.866  -0.04
O  0.020  0.667  0.366  -0.04
O  0.647  0.980  0.366  -0.04
O  0.020  0.353  0.134  -0.04
O  0.667  0.647  0.634  -0.04
O  0.333  0.353  0.366  -0.04
O  0.353  0.020  0.634  -0.04
O  0.980  0.333  0.634  -0.04
O  0.333  0.980  0.134  -0.04
O  0.647  0.667  0.134  -0.04
O  0.980  0.647  0.866  -0.04
O  0.667  0.020  0.866  -0.04
Np  0.333  0.667  0.750  1.22
Np  0.667  0.333  0.250  1.22
Sc  0.000  0.000  0.500  -0.01
Sc  0.000  0.000  0.000  -0.01

Output
uncorrected formation energy	-2.96	eV/atom
symmetry	P-31c (163)

***

## LaPm8Bi6 (GGA-PBE)

Data for a relaxed LaPm8Bi6 crystal.

Cell: 8.412 8.412 9.923 Å, 64.92 64.92 60.00°
Fractional positions:
Bi  0.407  0.067  0.796
Bi  0.270  0.593  0.204
Bi  0.730  0.407  0.796
Bi  0.593  0.933  0.204
Bi  0.933  0.270  0.204
Bi  0.067  0.730  0.796
Pm  0.333  0.333  0.000
Pm  0.793  0.124  0.632
Pm  0.876  0.549  0.368
Pm  0.667  0.667  0.000
Pm  0.124  0.451  0.632
Pm  0.207  0.876  0.368
Pm  0.451  0.793  0.632
Pm  0.549  0.207  0.368
La  0.000  0.000  0.000

Output
DOS(E_F)	17.335	states/eV/f.u.
calculated formation energy	-0.61	eV/atom
symmetry	R-3 (148)

***

## PmHo4Ir5 (GGA-PBE)

Data for a relaxed PmHo4Ir5 crystal.

Cell: 3.360 3.360 17.898 Å, 90.00 90.00 90.00°
Fractional positions:
Ir  0.500  0.500  0.500
Ir  0.500  0.500  0.697
Ir  0.500  0.500  0.303
Ir  0.500  0.500  0.893
Ir  0.500  0.500  0.107
Ho  0.000  0.000  0.401
Ho  0.000  0.000  0.599
Ho  0.000  0.000  0.796
Ho  0.000  0.000  0.204
Pm  0.000  0.000  0.000

Output
DOS(E_F)	4.514	states/eV/f.u.
calculated formation energy	-0.78	eV/atom
symmetry	P4/mmm (123)

***

## Na4Hg2Pb5 (GGA-PBE)

Data for a relaxed Na4Hg2Pb5 crystal.

Cell: 3.404 8.488 10.894 Å, 93.87 90.00 90.00°
Fractional positions:
Na  0.500  0.832  0.114
Na  0.500  0.168  0.886
Na  0.500  0.730  0.560
Na  0.500  0.270  0.440
Hg  0.000  0.065  0.635
Hg  0.000  0.935  0.365
Pb  0.000  0.187  0.166
Pb  0.000  0.813  0.834
Pb  0.000  0.436  0.696
Pb  0.000  0.500  0.000
Pb  0.000  0.564  0.304

Output
DOS(E_F)	5.684	states/eV/f.u.
calculated formation energy	-0.13	eV/atom
E above lowest polymorph	0.000	eV per formula unit
symmetry	P2/m (10)